No. 1
A geometry-optimized TbErGePt structure, computed with PBE.

Calculated values
Total magnetization ... 0.0 μB per formula unit
Energy above the most stable polymorph in this dataset ... 0.000 eV/atom
Energy ... -48.3 eV per cell
Crystal system ... orthorhombic
SG ... Amm2
Mass density ... 10.900 g/cm3
Formation energy from the elements ... -1.08 eV per atom

```
data_TbErGePt
_chemical_formula_sum 'Tb2 Er2 Ge2 Pt2'
_space_group_name_H-M_alt 'P 1'
_space_group_IT_number 1
_cell_length_a 4.265
_cell_length_b 3.915
_cell_length_c 10.837
_cell_angle_alpha 90.00
_cell_angle_beta 90.00
_cell_angle_gamma 90.00
loop_
_space_group_symop_operation_xyz
'x,y,z'
loop_
_atom_site_label
_atom_site_type_symbol
_atom_site_fract_x
_atom_site_fract_y
_atom_site_fract_z
_atom_site_occupancy
Tb1 Tb 0.000 0.000 0.000 1
Tb2 Tb 0.000 0.500 0.500 1
Er1 Er 0.500 0.000 0.279 1
Er2 Er 0.500 0.500 0.779 1
Ge1 Ge 0.000 0.000 0.722 1
Ge2 Ge 0.000 0.500 0.222 1
Pt1 Pt 0.500 0.000 0.555 1
Pt2 Pt 0.500 0.500 0.055 1
```



No. 2
A geometry-optimized Er8Ge3Te4Pt structure, computed with PBE.

Calculated values
Total magnetization ... 0.0 μB per formula unit
Energy ... -87.5 eV per cell
Crystal system ... trigonal
SG ... R-3m
Formation energy from raw total energies ... -1.16 eV/atom
Mass density ... 8.745 g/cm3

```
data_Er8Ge3Te4Pt
_chemical_formula_sum 'Er8 Ge3 Te4 Pt1'
_space_group_name_H-M_alt 'P 1'
_space_group_IT_number 1
_cell_length_a 8.558
_cell_length_b 8.558
_cell_length_c 8.558
_cell_angle_alpha 58.64
_cell_angle_beta 58.64
_cell_angle_gamma 58.64
loop_
_space_group_symop_operation_xyz
'x,y,z'
loop_
_atom_site_label
_atom_site_type_symbol
_atom_site_fract_x
_atom_site_fract_y
_atom_site_fract_z
_atom_site_occupancy
Er1 Er 0.239 0.739 0.739 1
Er2 Er 0.240 0.240 0.240 1
Er3 Er 0.261 0.261 0.761 1
Er4 Er 0.261 0.761 0.261 1
Er5 Er 0.739 0.239 0.739 1
Er6 Er 0.739 0.739 0.239 1
Er7 Er 0.760 0.760 0.760 1
Er8 Er 0.761 0.261 0.261 1
Ge1 Ge 0.000 0.000 0.500 1
Ge2 Ge 0.000 0.500 0.000 1
Ge3 Ge 0.500 0.000 0.000 1
Te1 Te 0.000 0.000 0.000 1
Te2 Te 0.000 0.500 0.500 1
Te3 Te 0.500 0.000 0.500 1
Te4 Te 0.500 0.500 0.000 1
Pt1 Pt 0.500 0.500 0.500 1
```



No. 3
A geometry-optimized ErTh2Ge4Pt3 structure, computed with PBE.

Calculated values
Total magnetization ... 0.0 μB per formula unit
Energy ... -64.8 eV per cell
Crystal system ... tetragonal
SG ... P-4m2
Mass density ... 12.063 g/cm3
Formation energy from the elements ... -0.88 eV per atom

```
data_ErTh2Ge4Pt3
_chemical_formula_sum 'Er1 Th2 Ge4 Pt3'
_space_group_name_H-M_alt 'P 1'
_space_group_IT_number 1
_cell_length_a 4.341
_cell_length_b 4.341
_cell_length_c 11.009
_cell_angle_alpha 90.00
_cell_angle_beta 90.00
_cell_angle_gamma 90.00
loop_
_space_group_symop_operation_xyz
'x,y,z'
loop_
_atom_site_label
_atom_site_type_symbol
_atom_site_fract_x
_atom_site_fract_y
_atom_site_fract_z
_atom_site_occupancy
Er1 Er 0.000 0.000 0.000 1
Th1 Th 0.000 0.500 0.733 1
Th2 Th 0.500 0.000 0.267 1
Ge1 Ge 0.000 0.000 0.500 1
Ge2 Ge 0.000 0.500 0.157 1
Ge3 Ge 0.500 0.000 0.843 1
Ge4 Ge 0.500 0.500 0.500 1
Pt1 Pt 0.000 0.500 0.383 1
Pt2 Pt 0.500 0.000 0.617 1
Pt3 Pt 0.500 0.500 0.000 1
```



No. 4
A geometry-optimized ErTh2Ge3Pt4 structure, computed with PBE.

Calculated values
Total magnetization ... 0.0 μB per formula unit
Energy ... -67.0 eV per cell
Crystal system ... tetragonal
SG ... P-4m2
Mass density ... 13.099 g/cm3
Formation energy from the elements ... -0.96 eV per atom

```
data_ErTh2Ge3Pt4
_chemical_formula_sum 'Er1 Th2 Ge3 Pt4'
_space_group_name_H-M_alt 'P 1'
_space_group_IT_number 1
_cell_length_a 4.281
_cell_length_b 4.281
_cell_length_c 11.270
_cell_angle_alpha 90.00
_cell_angle_beta 90.00
_cell_angle_gamma 90.00
loop_
_space_group_symop_operation_xyz
'x,y,z'
loop_
_atom_site_label
_atom_site_type_symbol
_atom_site_fract_x
_atom_site_fract_y
_atom_site_fract_z
_atom_site_occupancy
Er1 Er 0.000 0.000 0.000 1
Th1 Th 0.000 0.500 0.721 1
Th2 Th 0.500 0.000 0.279 1
Ge1 Ge 0.000 0.500 0.375 1
Ge2 Ge 0.500 0.000 0.625 1
Ge3 Ge 0.500 0.500 0.000 1
Pt1 Pt 0.000 0.000 0.500 1
Pt2 Pt 0.000 0.500 0.156 1
Pt3 Pt 0.500 0.000 0.844 1
Pt4 Pt 0.500 0.500 0.500 1
```



No. 5
A geometry-optimized Er2TiGe4Pt3 structure, computed with PBE.

Calculated values
Total magnetization ... 0.0 μB per formula unit
Energy ... -62.1 eV per cell
Crystal system ... tetragonal
SG ... P-4m2
Mass density ... 11.136 g/cm3
Formation energy from the elements ... -0.85 eV per atom

```
data_Er2TiGe4Pt3
_chemical_formula_sum 'Er2 Ti1 Ge4 Pt3'
_space_group_name_H-M_alt 'P 1'
_space_group_IT_number 1
_cell_length_a 4.104
_cell_length_b 4.104
_cell_length_c 11.137
_cell_angle_alpha 90.00
_cell_angle_beta 90.00
_cell_angle_gamma 90.00
loop_
_space_group_symop_operation_xyz
'x,y,z'
loop_
_atom_site_label
_atom_site_type_symbol
_atom_site_fract_x
_atom_site_fract_y
_atom_site_fract_z
_atom_site_occupancy
Er1 Er 0.000 0.500 0.250 1
Er2 Er 0.500 0.000 0.750 1
Ti1 Ti 0.000 0.000 0.500 1
Ge1 Ge 0.000 0.000 0.000 1
Ge2 Ge 0.000 0.500 0.642 1
Ge3 Ge 0.500 0.000 0.358 1
Ge4 Ge 0.500 0.500 0.000 1
Pt1 Pt 0.000 0.500 0.863 1
Pt2 Pt 0.500 0.000 0.137 1
Pt3 Pt 0.500 0.500 0.500 1
```



No. 6
A geometry-optimized YErGe2Pt5 structure, computed with PBE.

Calculated values
Total magnetization ... 0.0 μB per formula unit
Energy ... -58.8 eV per cell
Crystal system ... tetragonal
SG ... P4/mmm
Mass density ... 14.016 g/cm3
Formation energy from the elements ... -0.93 eV per atom

```
data_YErGe2Pt5
_chemical_formula_sum 'Y1 Er1 Ge2 Pt5'
_space_group_name_H-M_alt 'P 1'
_space_group_IT_number 1
_cell_length_a 4.244
_cell_length_b 4.244
_cell_length_c 9.056
_cell_angle_alpha 90.00
_cell_angle_beta 90.00
_cell_angle_gamma 90.00
loop_
_space_group_symop_operation_xyz
'x,y,z'
loop_
_atom_site_label
_atom_site_type_symbol
_atom_site_fract_x
_atom_site_fract_y
_atom_site_fract_z
_atom_site_occupancy
Y1 Y 0.000 0.000 0.000 1
Er1 Er 0.000 0.000 0.500 1
Ge1 Ge 0.500 0.500 0.367 1
Ge2 Ge 0.500 0.500 0.633 1
Pt1 Pt 0.000 0.500 0.228 1
Pt2 Pt 0.000 0.500 0.772 1
Pt3 Pt 0.500 0.000 0.228 1
Pt4 Pt 0.500 0.000 0.772 1
Pt5 Pt 0.500 0.500 0.000 1
```